VASP calculation (PBE) on a relaxed structure of CaCoRu2.

Computed properties:
- raw total energy (eV per atom) = -6.38

abc: 5.3334 4.9632 2.7373
angles: 84.85 77.59 116.25
Site moments in Bohr magnetons follow the coordinates.
Sites, in units of the cell vectors:
Ca  0.5000  0.5000  0.0000  -0.05
Ru  0.0000  0.0000  0.0000  0.48
Co  0.5000  0.0000  0.5000  1.62
Ru  0.0000  0.5000  0.5000  0.48


VASP calculation (PBE) on a relaxed structure of CaCo2Ru.

Computed properties:
- raw total energy (eV per atom) = -5.96

abc: 5.4290 5.4290 5.4290
angles: 150.41 129.81 59.35
Site moments in Bohr magnetons follow the coordinates.
Sites, in units of the cell vectors:
Co  0.0347  0.0347  0.0000  1.57
Co  0.2437  0.7437  0.5000  1.29
Ru  0.4677  0.4677  0.0000  0.47
Ca  0.7539  0.2539  0.5000  -0.07


VASP calculation (PBE) on a relaxed structure of CaCoRu2.

Computed properties:
- raw total energy (eV per atom) = -6.29

abc: 7.3569 7.3569 5.7903
angles: 50.56 50.56 90.00
Site moments in Bohr magnetons follow the coordinates.
Sites, in units of the cell vectors:
Ru  0.3750  0.3108  0.7500  0.22
Co  0.0000  0.0000  0.0000  0.81
Co  0.7500  0.2500  0.5000  0.80
Ru  0.6892  0.1250  0.2500  0.21
Ru  0.8750  0.9392  0.7500  0.25
Ru  0.0608  0.6250  0.2500  0.23
Ca  0.2500  0.7500  0.5000  -0.01
Ca  0.5000  0.5000  0.0000  -0.01


VASP calculation (PBE) on a relaxed structure of CaCo2Ru.

Computed properties:
- raw total energy (eV per atom) = -5.95

abc: 4.4271 4.4271 3.0441
angles: 90.00 90.00 90.04
Site moments in Bohr magnetons follow the coordinates.
Sites, in units of the cell vectors:
Co  0.0000  0.0000  0.0000  1.55
Ca  0.0000  0.5000  0.5000  -0.12
Co  0.5000  0.5000  0.0000  1.55
Ru  0.5000  0.0000  0.5000  1.03